(1)
The following is a DFT calculation (PBE+U) of SrCrN2F after structural relaxation.

Cell lengths 3.8882, 3.8882, 4.1343 Å; angles 90.00, 90.00, 90.00 degrees
With the nearest neighbours (Å) after each atom.
Fractional positions:
Sr (0.5000, 0.5000, 0.5000)  4 F 2.75, 8 N 2.84
N (0.0000, 0.5000, 0.0000)  2 Cr 1.94
N (0.5000, 0.0000, 0.0000)  2 Cr 1.94
F (0.0000, 0.0000, 0.5000)  2 Cr 2.07
Cr (0.0000, 0.0000, 0.0000)  4 N 1.94, 2 F 2.07

Calculated volume, Å³/f.u.: 63
Relative energy among the computed polymorphs, meV/atom: 0
Magnetization, μB per formula unit: 1.367
DFT total energy, eV for the cell shown: -31.9

---

(2)
The following is a DFT calculation (PBE+U) of SrCrN2F after structural relaxation.

Cell lengths 4.9607, 4.9607, 4.5245 Å; angles 90.00, 90.00, 90.00 degrees
With the nearest neighbours (Å) after each atom.
Fractional positions:
Sr (0.0000, 0.0000, 0.0000)  2 F 2.26, 4 N 2.48
N (0.0000, 0.5000, 0.0000)  2 Sr 2.48
N (0.5000, 0.0000, 0.0000)  2 Sr 2.48
F (0.0000, 0.0000, 0.5000)  2 Sr 2.26
Cr (0.5000, 0.5000, 0.5000)  8 N 3.36, 4 F 3.51

Calculated volume, Å³/f.u.: 111
Relative energy among the computed polymorphs, meV/atom: 1416
Magnetization, μB per formula unit: 1.000
DFT total energy, eV for the cell shown: -24.8

---

(3)
The following is a DFT calculation (PBE+U) of CrTcN2F after structural relaxation.

Cell lengths 3.7916, 3.8453, 3.7916 Å; angles 90.00, 90.00, 90.00 degrees
With the nearest neighbours (Å) after each atom.
Fractional positions:
Cr (0.0000, 0.0000, 0.0000)  4 N 1.90, 2 F 1.92
N (0.0000, 0.0000, 0.5000)  2 Cr 1.90
N (0.5000, 0.0000, 0.0000)  2 Cr 1.90
Tc (0.5000, 0.5000, 0.5000)  4 F 2.68, 8 N 2.70
F (0.0000, 0.5000, 0.0000)  2 Cr 1.92

Calculated volume, Å³/f.u.: 55
Relative energy among the computed polymorphs, meV/atom: 748
Magnetization, μB per formula unit: 3.705
DFT total energy, eV for the cell shown: -32.6

---

(4)
The following is a DFT calculation (PBE+U) of CrTcN2F after structural relaxation.

Cell lengths 3.8776, 3.8776, 4.1444 Å; angles 90.00, 90.00, 90.00 degrees
With the nearest neighbours (Å) after each atom.
Fractional positions:
Cr (0.5000, 0.5000, 0.5000)  4 F 2.74, 8 N 2.84
N (0.0000, 0.5000, 0.0000)  2 Tc 1.94
N (0.5000, 0.0000, 0.0000)  2 Tc 1.94
Tc (0.0000, 0.0000, 0.0000)  4 N 1.94, 2 F 2.07
F (0.0000, 0.0000, 0.5000)  2 Tc 2.07

Calculated volume, Å³/f.u.: 62
Relative energy among the computed polymorphs, meV/atom: 0
Magnetization, μB per formula unit: 4.232
DFT total energy, eV for the cell shown: -36.3

---

(5)
The following is a DFT calculation (PBE+U) of CrTeNF2 after structural relaxation.

Cell lengths 3.8170, 3.8170, 4.8550 Å; angles 90.00, 90.00, 90.00 degrees
With the nearest neighbours (Å) after each atom.
Fractional positions:
Cr (0.0000, 0.0000, 0.0000)  4 F 1.91
N (0.0000, 0.0000, 0.5000)  2 Cr 2.43, 4 Te 2.70
Te (0.5000, 0.5000, 0.5000)  4 N 2.70
F (0.0000, 0.5000, 0.0000)  2 Cr 1.91
F (0.5000, 0.0000, 0.0000)  2 Cr 1.91

Calculated volume, Å³/f.u.: 71
Relative energy among the computed polymorphs, meV/atom: 0
Magnetization, μB per formula unit: 3.300
DFT total energy, eV for the cell shown: -26.3

---

(6)
The following is a DFT calculation (PBE+U) of CrTeNF2 after structural relaxation.

Cell lengths 4.5983, 4.5983, 4.1076 Å; angles 90.00, 90.00, 90.00 degrees
With the nearest neighbours (Å) after each atom.
Fractional positions:
Cr (0.5000, 0.5000, 0.5000)  8 F 3.08, 4 N 3.25
N (0.0000, 0.0000, 0.5000)  2 Te 2.05
Te (0.0000, 0.0000, 0.0000)  2 N 2.05, 4 F 2.30
F (0.0000, 0.5000, 0.0000)  2 Te 2.30
F (0.5000, 0.0000, 0.0000)  2 Te 2.30

Calculated volume, Å³/f.u.: 87
Relative energy among the computed polymorphs, meV/atom: 448
Magnetization, μB per formula unit: 4.926
DFT total energy, eV for the cell shown: -24.0

---

(7)
The following is a DFT calculation (PBE+U) of TiCrNF2 after structural relaxation.

Cell lengths 3.7828, 3.7828, 4.3622 Å; angles 90.00, 90.00, 90.00 degrees
With the nearest neighbours (Å) after each atom.
Fractional positions:
Cr (0.0000, 0.0000, 0.0000)  4 F 1.89
N (0.0000, 0.0000, 0.5000)  2 Cr 2.18
F (0.0000, 0.5000, 0.0000)  2 Cr 1.89
F (0.5000, 0.0000, 0.0000)  2 Cr 1.89
Ti (0.5000, 0.5000, 0.5000)  4 N 2.67, 8 F 2.89

Calculated volume, Å³/f.u.: 62
Relative energy among the computed polymorphs, meV/atom: 560
Magnetization, μB per formula unit: 5.000
DFT total energy, eV for the cell shown: -32.4

---

(8)
The following is a DFT calculation (PBE+U) of TiCrNF2 after structural relaxation.

Cell lengths 3.9947, 3.9947, 3.9503 Å; angles 90.00, 90.00, 90.00 degrees
With the nearest neighbours (Å) after each atom.
Fractional positions:
Cr (0.5000, 0.5000, 0.5000)  8 F 2.81, 4 N 2.82
N (0.0000, 0.0000, 0.5000)  2 Ti 1.98
F (0.0000, 0.5000, 0.0000)  2 Ti 2.00
F (0.5000, 0.0000, 0.0000)  2 Ti 2.00
Ti (0.0000, 0.0000, 0.0000)  2 N 1.98, 4 F 2.00

Calculated volume, Å³/f.u.: 63
Relative energy among the computed polymorphs, meV/atom: 0
Magnetization, μB per formula unit: 4.947
DFT total energy, eV for the cell shown: -35.2

---

What did the first record say?
The following is a DFT calculation (PBE+U) of SrCrN2F after structural relaxation.

Cell lengths 3.8882, 3.8882, 4.1343 Å; angles 90.00, 90.00, 90.00 degrees
With the nearest neighbours (Å) after each atom.
Fractional positions:
Sr (0.5000, 0.5000, 0.5000)  4 F 2.75, 8 N 2.84
N (0.0000, 0.5000, 0.0000)  2 Cr 1.94
N (0.5000, 0.0000, 0.0000)  2 Cr 1.94
F (0.0000, 0.0000, 0.5000)  2 Cr 2.07
Cr (0.0000, 0.0000, 0.0000)  4 N 1.94, 2 F 2.07

Calculated volume, Å³/f.u.: 63
Relative energy among the computed polymorphs, meV/atom: 0
Magnetization, μB per formula unit: 1.367
DFT total energy, eV for the cell shown: -31.9

---

Question: Look up the magnetization of the fifth one.
Answer: 3.300 μB per formula unit

---

Please write out number 1 again, unchanged.
The following is a DFT calculation (PBE+U) of SrCrN2F after structural relaxation.

Cell lengths 3.8882, 3.8882, 4.1343 Å; angles 90.00, 90.00, 90.00 degrees
With the nearest neighbours (Å) after each atom.
Fractional positions:
Sr (0.5000, 0.5000, 0.5000)  4 F 2.75, 8 N 2.84
N (0.0000, 0.5000, 0.0000)  2 Cr 1.94
N (0.5000, 0.0000, 0.0000)  2 Cr 1.94
F (0.0000, 0.0000, 0.5000)  2 Cr 2.07
Cr (0.0000, 0.0000, 0.0000)  4 N 1.94, 2 F 2.07

Calculated volume, Å³/f.u.: 63
Relative energy among the computed polymorphs, meV/atom: 0
Magnetization, μB per formula unit: 1.367
DFT total energy, eV for the cell shown: -31.9

---

Question: What is the relative energy among the computed polymorphs in the sixth record?
Answer: 448 meV/atom